No. 1
Compound: HoAl2Ga2Ni
Source: the Open Quantum Materials Database
Functional: PBE
Structure: relaxed

Unit cell a=7.8746 b=7.8746 c=6.6645 alpha=90.00 beta=90.00 gamma=150.20
Last column: nearest neighbours and their distance in Å.
Fractional positions:
Ho 0.1172 0.8828 0.7500  5 Ga 2.89-3.17, 4 Al 3.06, 2 Ni 3.13
Ho 0.8828 0.1172 0.2500  5 Ga 2.89-3.17, 4 Al 3.06, 2 Ni 3.13
Al 0.3113 0.6887 0.5530  3 Ni 2.40-2.48, 1 Al 2.63
Al 0.3113 0.6887 0.9470  3 Ni 2.40-2.48, 1 Al 2.63
Al 0.6887 0.3113 0.0530  3 Ni 2.40-2.48, 1 Al 2.63
Al 0.6887 0.3113 0.4470  3 Ni 2.40-2.48, 1 Al 2.63
Ga 0.0725 0.9275 0.2500  1 Ni 2.34
Ga 0.5000 0.5000 0.0000  4 Ga 2.85, 2 Al 2.89, 4 Ho 3.17
Ga 0.5000 0.5000 0.5000  4 Ga 2.85, 2 Al 2.89, 4 Ho 3.17
Ga 0.9275 0.0725 0.7500  1 Ni 2.34
Ni 0.2262 0.7738 0.2500  1 Ga 2.34, 6 Al 2.40-2.48
Ni 0.7738 0.2262 0.7500  1 Ga 2.34, 6 Al 2.40-2.48

For the excess energy over the best structure of this formula in the dataset, the calculation gives 0 meV/atom. For the calculated volume, the calculation gives 102.7 Å³/f.u. The space group is No. 63.

No. 2
Compound: SrHfNi
Source: the Open Quantum Materials Database
Functional: PBE
Structure: relaxed

Unit cell a=4.6915 b=4.6915 c=4.6915 alpha=60.00 beta=60.00 gamma=60.00
Last column: nearest neighbours and their distance in Å.
Fractional positions:
Sr 0.0000 0.0000 0.0000  4 Hf 2.87, 4 Ni 2.87
Hf 0.7500 0.7500 0.7500  4 Sr 2.87
Ni 0.2500 0.2500 0.2500  4 Sr 2.87

For the excess energy over the best structure of this formula in the dataset, the calculation gives 1003 meV/atom. For the calculated volume, the calculation gives 73.0 Å³/f.u. The space group is No. 216.

No. 3
Compound: NdGdTe6
Source: the Open Quantum Materials Database
Functional: PBE
Structure: relaxed

Unit cell a=4.3637 b=13.5666 c=13.5666 alpha=18.50 beta=90.00 gamma=90.00
Last column: nearest neighbours and their distance in Å.
Fractional positions:
Nd 0.0000 0.0000 0.0000  9 Te 3.24-3.38
Gd 0.5000 0.3416 0.3416  9 Te 3.22-3.34
Te 0.0000 0.2474 0.2474  4 Te 3.09, 2 Gd 3.34
Te 0.0000 0.5963 0.5963  4 Te 3.09, 2 Nd 3.38
Te 0.0000 0.8762 0.8762  4 Gd 3.22, 1 Nd 3.32
Te 0.5000 0.0964 0.0964  4 Te 3.09, 2 Nd 3.38
Te 0.5000 0.4627 0.4627  4 Nd 3.24, 1 Gd 3.24
Te 0.5000 0.7474 0.7474  4 Te 3.09, 2 Gd 3.34

The total energy comes out at -4.50 eV/atom. For the calculated volume, the calculation gives 254.9 Å³/f.u. The space group is No. 38.

No. 4
Compound: TaBSb
Source: the Open Quantum Materials Database
Functional: PBE
Structure: relaxed

Unit cell a=4.3902 b=4.3902 c=4.3902 alpha=60.00 beta=60.00 gamma=60.00
Last column: nearest neighbours and their distance in Å.
Fractional positions:
Ta 0.0000 0.0000 0.0000  4 Sb 2.69, 4 B 2.69
B 0.7500 0.7500 0.7500  4 Ta 2.69
Sb 0.2500 0.2500 0.2500  4 Ta 2.69

For the excess energy over the best structure of this formula in the dataset, the calculation gives 339 meV/atom. For the calculated volume, the calculation gives 59.8 Å³/f.u. The space group is No. 216.

No. 5
Compound: K2ZrF6
Source: the Open Quantum Materials Database
Functional: PBE
Structure: relaxed

Unit cell a=5.3840 b=5.3840 c=11.0529 alpha=90.00 beta=90.00 gamma=90.00
Last column: nearest neighbours and their distance in Å.
Fractional positions:
K 0.0000 0.0000 0.1666  6 F 2.46-2.58
K 0.0000 0.0000 0.8334  6 F 2.46-2.58
K 0.5000 0.5000 0.3334  6 F 2.46-2.58
K 0.5000 0.5000 0.6666  6 F 2.46-2.58
Zr 0.0000 0.0000 0.5000  6 F 2.03
Zr 0.5000 0.5000 0.0000  6 F 2.03
F 0.1797 0.1797 0.3646  1 Zr 2.03
F 0.1797 0.1797 0.6354  1 Zr 2.03
F 0.2335 0.2335 0.0000  1 Zr 2.03
F 0.2665 0.7335 0.5000  1 Zr 2.03
F 0.3203 0.6797 0.1354  1 Zr 2.03
F 0.3203 0.6797 0.8646  1 Zr 2.03
F 0.6797 0.3203 0.1354  1 Zr 2.03
F 0.6797 0.3203 0.8646  1 Zr 2.03
F 0.7335 0.2665 0.5000  1 Zr 2.03
F 0.7665 0.7665 0.0000  1 Zr 2.03
F 0.8203 0.8203 0.3646  1 Zr 2.03
F 0.8203 0.8203 0.6354  1 Zr 2.03

The total energy comes out at -5.80 eV/atom. For the calculated volume, the calculation gives 160.2 Å³/f.u. The space group is No. 136.

No. 6
Compound: FeHgB2
Source: the Open Quantum Materials Database
Functional: PBE
Structure: relaxed

Unit cell a=4.0967 b=4.0967 c=4.0967 alpha=60.00 beta=60.00 gamma=60.00
Last column: nearest neighbours and their distance in Å.
Fractional positions:
Fe 0.0000 0.0000 0.0000  4 B 2.51, 4 Hg 2.51
Hg 0.2500 0.2500 0.2500  4 B 2.51, 4 Fe 2.51
B 0.5000 0.5000 0.5000  4 B 2.51, 4 Hg 2.51
B 0.7500 0.7500 0.7500  4 B 2.51, 4 Fe 2.51

The total energy comes out at -3.77 eV/atom. For the calculated volume, the calculation gives 48.6 Å³/f.u. The space group is No. 216.

Q: Which of these has the highest calculated volume?
A: NdGdTe6